[1]
K3GaS3 | PBE | optimized geometry

Summary:
Crystal system = monoclinic
ΔE to the lowest computed polymorph = 0.001 eV/atom
Calculated volume = 29.6 A^3/atom

Geometry as POSCAR:
```
K3GaS3
1.0
7.805 0.184 -0.068
-3.312 7.070 -0.068
-0.750 -1.210 7.450
S K Ga
6 6 2
direct
0.897 0.897 0.171
0.439 0.153 0.272
0.847 0.561 0.728
0.103 0.103 0.829
0.153 0.439 0.272
0.561 0.847 0.728
0.820 0.180 0.500
0.755 0.245 0.000
0.180 0.820 0.500
0.245 0.755 0.000
0.390 0.390 0.647
0.610 0.610 0.353
0.829 0.829 0.852
0.171 0.171 0.148
```

***

[2]
K2GaS4 | PBE | optimized geometry

Summary:
Crystal system = tetragonal
Final energy = -24.26 eV per cell
Calculated volume = 27.8 A^3/atom

Geometry as POSCAR:
```
K2GaS4
1.0
5.010 0.000 0.000
0.000 5.010 0.000
2.505 2.505 7.765
K Ga S
2 1 4
direct
0.641 0.641 0.717
0.359 0.359 0.283
0.000 0.000 0.000
0.000 0.500 0.000
0.852 0.852 0.296
0.148 0.148 0.704
0.500 0.000 0.000
```